Record 1
A geometry-optimized Ti8CuSn2 structure. Source: the Alexandria database, functional PBE-GGA.

Crystal system: monoclinic
Space-group type: C2/m, No. 12
Raw total energy, eV per atom: -7.0329

Lattice parameters (Å, degrees): 4.6746 5.3764 7.9914 91.11 107.01 90.00
Fractional positions:
Sn 0.1500 0.8156 0.3000
Sn 0.8500 0.1844 0.7000
Ti 0.0456 0.2787 0.0913
Ti 0.7661 0.6561 0.5321
Ti 0.5817 0.5761 0.1633
Ti 0.3379 0.8745 0.6758
Ti 0.6621 0.1255 0.3242
Ti 0.2339 0.3439 0.4679
Ti 0.9544 0.7213 0.9087
Ti 0.4183 0.4239 0.8367
Cu 0.5000 0.0000 0.0000

---

Record 2
A geometry-optimized TiCu2Sn2 structure. Source: the Alexandria database, functional PBE-GGA.

Crystal system: tetragonal
Space-group type: P4/mbm, No. 127
Raw total energy, eV per atom: -4.6915

Lattice parameters (Å, degrees): 7.6470 7.6470 3.1392 90.00 90.00 90.00
Fractional positions:
Cu 0.1346 0.6346 0.5000
Cu 0.3654 0.1346 0.5000
Cu 0.6346 0.8654 0.5000
Cu 0.8654 0.3654 0.5000
Ti 0.0000 0.0000 0.0000
Ti 0.5000 0.5000 0.0000
Sn 0.1614 0.3386 0.0000
Sn 0.8386 0.6614 0.0000
Sn 0.6614 0.1614 0.0000
Sn 0.3386 0.8386 0.0000

---

Record 3
A geometry-optimized Ti6CuSn2 structure. Source: the Alexandria database, functional PBE-GGA.

Crystal system: hexagonal
Space-group type: P-62m, No. 189
Raw total energy, eV per atom: -6.8145

Lattice parameters (Å, degrees): 3.3579 7.4517 7.4522 120.00 90.00 90.00
Fractional positions:
Ti 0.0000 0.7509 0.7509
Ti 0.5000 0.3847 0.3847
Ti 0.0000 0.0000 0.2491
Ti 0.5000 0.0000 0.6153
Ti 0.0000 0.2492 0.0000
Ti 0.5000 0.6151 0.0000
Sn 0.0000 0.3333 0.6666
Sn 0.0000 0.6667 0.3334
Cu 0.5000 0.0000 0.0000

---

Record 4
A geometry-optimized Ti6CuSn structure. Source: the Alexandria database, functional PBE-GGA.

Crystal system: monoclinic
Space-group type: C2/m, No. 12
Raw total energy, eV per atom: -6.8901

Lattice parameters (Å, degrees): 5.3110 5.3110 7.5716 110.13 110.13 119.96
Fractional positions:
Ti 0.7551 0.2530 0.7445
Ti 0.2449 0.7470 0.2555
Ti 0.7470 0.2449 0.2555
Ti 0.7490 0.7490 0.2553
Ti 0.2530 0.7551 0.7445
Ti 0.2510 0.2510 0.7447
Sn 0.0000 0.0000 0.0000
Cu 0.5000 0.5000 0.5000

---

Record 5
A geometry-optimized Ti2CuSn structure. Source: the Alexandria database, functional PBE-GGA.

Crystal system: tetragonal
Space-group type: P4/mmm, No. 123
Raw total energy, eV per atom: -6.0857

Lattice parameters (Å, degrees): 3.4506 3.4506 5.7085 90.00 90.00 90.00
Fractional positions:
Ti 0.0000 0.0000 0.2292
Ti 0.0000 0.0000 0.7708
Sn 0.5000 0.5000 0.5000
Cu 0.5000 0.5000 0.0000

---

Record 6
A geometry-optimized Ti2CuSn structure. Source: the Alexandria database, functional PBE-GGA.

Crystal system: tetragonal
Space-group type: I-42d, No. 122
Raw total energy, eV per atom: -5.8582

Lattice parameters (Å, degrees): 7.2727 7.2727 5.8251 51.37 51.37 90.00
Fractional positions:
Cu 0.5000 0.5000 0.0000
Cu 0.2500 0.7500 0.5000
Sn 0.7500 0.2500 0.5000
Sn 0.0000 0.0000 0.0000
Ti 0.3750 0.4036 0.7500
Ti 0.8750 0.8464 0.7500
Ti 0.5964 0.1250 0.2500
Ti 0.1536 0.6250 0.2500

---

Record 7
A geometry-optimized TiCu2Sn2 structure. Source: the Alexandria database, functional PBE-GGA.

Crystal system: tetragonal
Space-group type: P4/mbm, No. 127
Raw total energy, eV per atom: -4.7919

Lattice parameters (Å, degrees): 7.4009 7.4009 3.2510 90.00 90.00 90.00
Fractional positions:
Cu 0.6176 0.1176 0.0000
Cu 0.3824 0.8824 0.0000
Cu 0.8824 0.6176 0.0000
Cu 0.1176 0.3824 0.0000
Sn 0.3183 0.1817 0.5000
Sn 0.1817 0.6817 0.5000
Sn 0.8183 0.3183 0.5000
Sn 0.6817 0.8183 0.5000
Ti 0.5000 0.5000 0.0000
Ti 0.0000 0.0000 0.0000

---

Record 8
A geometry-optimized Ti2CuSn2 structure. Source: the Alexandria database, functional PBE-GGA.

Crystal system: tetragonal
Excess energy over the best structure of this formula in the dataset, eV/atom: 0.0061
Space-group type: P4/mbm, No. 127
Raw total energy, eV per atom: -5.6147

Lattice parameters (Å, degrees): 6.8427 6.8427 4.0970 90.00 90.00 90.00
Fractional positions:
Ti 0.3402 0.1598 0.5000
Ti 0.8402 0.3402 0.5000
Ti 0.1598 0.6598 0.5000
Ti 0.6598 0.8402 0.5000
Sn 0.6470 0.1470 0.0000
Sn 0.3530 0.8530 0.0000
Sn 0.1470 0.3530 0.0000
Sn 0.8530 0.6470 0.0000
Cu 0.0000 0.0000 0.0000
Cu 0.5000 0.5000 0.0000

---

Record 9
A geometry-optimized TiCuSn structure. Source: the Alexandria database, functional PBE-GGA.

Crystal system: tetragonal
Space-group type: I4mm, No. 107
Raw total energy, eV per atom: -4.9909

Lattice parameters (Å, degrees): 2.9448 2.9448 7.4226 101.44 101.44 90.00
Fractional positions:
Ti 0.1428 0.1428 0.2856
Sn 0.9459 0.9459 0.8917
Cu 0.7613 0.7613 0.5226

---

Record 10
A geometry-optimized Ti12CuSn3 structure. Source: the Alexandria database, functional PBE-GGA.

Crystal system: orthorhombic
Space-group type: Pmmm, No. 47
Raw total energy, eV per atom: -7.1522

Lattice parameters (Å, degrees): 5.1712 5.1930 10.3863 90.00 90.00 90.00
Fractional positions:
Ti 0.5000 0.0000 0.6179
Ti 0.0000 0.2446 0.7402
Ti 0.5000 0.0000 0.1291
Ti 0.5000 0.0000 0.8709
Ti 0.0000 0.7554 0.7402
Ti 0.7576 0.5000 0.5000
Ti 0.0000 0.7554 0.2598
Ti 0.0000 0.2446 0.2598
Ti 0.2424 0.5000 0.5000
Ti 0.2516 0.5000 0.0000
Ti 0.7484 0.5000 0.0000
Ti 0.5000 0.0000 0.3821
Cu 0.0000 0.0000 0.5000
Sn 0.5000 0.5000 0.2498
Sn 0.0000 0.0000 0.0000
Sn 0.5000 0.5000 0.7502

---

Record 11
A geometry-optimized Ti2Cu2Sn structure. Source: the Alexandria database, functional PBE-GGA.

Crystal system: tetragonal
Space-group type: I4/mmm, No. 139
Raw total energy, eV per atom: -5.4946

Lattice parameters (Å, degrees): 4.0429 4.0429 6.0344 70.43 70.43 90.00
Fractional positions:
Sn 0.0000 0.0000 0.0000
Cu 0.3947 0.3947 0.2107
Cu 0.6053 0.6053 0.7893
Ti 0.7500 0.2500 0.5000
Ti 0.2500 0.7500 0.5000

---

Record 12
A geometry-optimized TiCuSn4 structure. Source: the Alexandria database, functional PBE-GGA.

Crystal system: tetragonal
Space-group type: P4/mcc, No. 124
Raw total energy, eV per atom: -4.7195

Lattice parameters (Å, degrees): 5.4813 6.8833 6.8833 90.00 90.00 90.00
Fractional positions:
Ti 0.2500 0.5000 0.5000
Ti 0.7500 0.5000 0.5000
Cu 0.2500 0.0000 0.0000
Cu 0.7500 0.0000 0.0000
Sn 0.0000 0.8424 0.3396
Sn 0.5000 0.3396 0.8424
Sn 0.0000 0.6604 0.8424
Sn 0.5000 0.8424 0.6604
Sn 0.0000 0.1576 0.6604
Sn 0.5000 0.1576 0.3396
Sn 0.0000 0.3396 0.1576
Sn 0.5000 0.6604 0.1576

---

Q: Among the records above, which one has the lowest raw total energy?
A: Ti12CuSn3